Computed, not measured: a relaxed ZrCrPb2 crystal at the PBE level of DFT.

Cell: 3.3364 4.4480 6.3583 Å, 90.00 99.96 90.00°
Space group P2/m (No. 10)
Unique sites:
Zr (0.0000, 0.0000, 0.0000) (multiplicity 1)
Cr (0.5000, 0.0000, 0.5000) (multiplicity 1)
Pb (0.3201, 0.5000, 0.7429) (multiplicity 2)

Results
- excess energy over the best structure of this formula in the dataset (kJ per mole of atoms) = 6.0
- magnetization (μB/atom) = 0.80
- energy of formation (eV/f.u.) = 1.094
- uncorrected energy (eV per atom) = -6.12


Computed, not measured: a relaxed ZrCrPb2 crystal at the PBE level of DFT.

Cell: 3.3051 3.3051 8.4550 Å, 90.00 90.00 90.00°
Space group P4/mmm (No. 123)
Unique sites:
Zr (0.0000, 0.0000, 0.0000) (multiplicity 1)
Cr (0.0000, 0.0000, 0.5000) (multiplicity 1)
Pb (0.5000, 0.5000, 0.2651) (multiplicity 2)

Results
- excess energy over the best structure of this formula in the dataset (kJ per mole of atoms) = 7.6
- magnetization (μB/atom) = 0.98
- energy of formation (eV/f.u.) = 1.157
- uncorrected energy (eV per atom) = -6.11


Computed, not measured: a relaxed ZrCrPb2 crystal at the PBE level of DFT.

Cell: 4.2037 4.3735 4.9859 Å, 90.00 90.00 90.00°
Space group Pmmm (No. 47)
Unique sites:
Zr (0.0000, 0.0000, 0.0000) (multiplicity 1)
Cr (0.0000, 0.5000, 0.5000) (multiplicity 1)
Pb (0.5000, 0.0000, 0.5000) (multiplicity 1)
Pb (0.5000, 0.5000, 0.0000) (multiplicity 1)

Results
- excess energy over the best structure of this formula in the dataset (kJ per mole of atoms) = 5.4
- magnetization (μB/atom) = 0.86
- energy of formation (eV/f.u.) = 1.070
- uncorrected energy (eV per atom) = -6.13